This record from the Alexandria database describes a relaxed structure of CeYBi2. The functional is PBE.

The energy of formation is -643 meV per atom. Its density of states at the Fermi level is 7.72 states/eV/cell. The value obtained for the total DFT energy (no corrections) is -5.68 eV/atom. The magnetic moment comes out at 0.302 μB per atom. The space-group type is P4/mmm, No. 123.

a b c (Å): 4.1308 4.1308 6.9824
angles (deg): 90.00 90.00 90.00
Last column: magnetic moment on the atom in μB.
Fractional coordinates of all 4 atoms:
Y 0.5000 0.5000 0.0000  0.05
Bi 0.0000 0.0000 0.7537  -0.02
Bi 0.0000 0.0000 0.2463  -0.02
Ce 0.5000 0.5000 0.5000  0.93